[1]
Below is crystalline LaTbO4 at its relaxed geometry, with properties calculated at the PBE level.

Summary:
Total energy   -7.82 eV/atom

a = 3.8856 Å, b = 3.8856 Å, c = 6.4191 Å
α = 96.75°, β = 96.75°, γ = 60.68°
Closest atoms and distances in Å follow each position.
Positions (direct):
La 0.0000 0.0000 0.0000  7 O 2.34-2.58
Tb 0.6065 0.6065 0.5381  7 O 2.27-2.46
O 0.2164 0.2164 0.3516  1 O 1.49
O 0.3767 0.3767 0.2110  1 O 1.49
O 0.6486 0.6486 0.8953  1 Tb 2.27, 3 La 2.34-2.36
O 0.9496 0.9496 0.6136  3 Tb 2.29-2.31, 1 La 2.46

---

[2]
Below is crystalline Be2NiIr at its relaxed geometry, with properties calculated at the PBE level.

Summary:
ΔE to the lowest computed polymorph   0.00 eV/f.u.
Total energy   -6.06 eV/atom

a = 3.8325 Å, b = 3.8325 Å, c = 3.8325 Å
α = 60.00°, β = 60.00°, γ = 60.00°
Closest atoms and distances in Å follow each position.
Positions (direct):
Be 0.2500 0.2500 0.2500  4 Ni 2.35, 4 Ir 2.35
Be 0.7500 0.7500 0.7500  4 Ni 2.35, 4 Ir 2.35
Ni 0.0000 0.0000 0.0000  8 Be 2.35
Ir 0.5000 0.5000 0.5000  8 Be 2.35

---

[3]
Below is crystalline ZrUSn at its relaxed geometry, with properties calculated at the PBE level.

Summary:
Total energy   -7.33 eV/atom

a = 4.8376 Å, b = 4.8376 Å, c = 4.8376 Å
α = 60.00°, β = 60.00°, γ = 60.00°
Closest atoms and distances in Å follow each position.
Positions (direct):
Zr 0.0000 0.0000 0.0000  4 Sn 2.96, 4 U 2.96
U 0.2500 0.2500 0.2500  4 Zr 2.96
Sn 0.7500 0.7500 0.7500  4 Zr 2.96

---

[4]
Below is crystalline Gd2InGa4Pt3 at its relaxed geometry, with properties calculated at the PBE level.

Summary:
Total energy   -5.13 eV/atom

a = 12.8946 Å, b = 12.8946 Å, c = 6.9026 Å
α = 90.00°, β = 90.00°, γ = 160.62°
Closest atoms and distances in Å follow each position.
Positions (direct):
Gd 0.0171 0.9829 0.5000  5 Pt 2.94-3.09, 6 Ga 3.03-3.22
Gd 0.3257 0.6743 0.5172  9 Ga 3.06-3.33, 4 Pt 3.14-3.26
Gd 0.6743 0.3257 0.0172  9 Ga 3.06-3.33, 4 Pt 3.14-3.26
Gd 0.9829 0.0171 0.0000  5 Pt 2.94-3.09, 6 Ga 3.03-3.22
In 0.3756 0.6244 0.0021  4 Pt 2.70-2.92, 1 Ga 2.92
In 0.6244 0.3756 0.5021  4 Pt 2.70-2.92, 1 Ga 2.92
Ga 0.1019 0.8981 0.8435  3 Pt 2.58-2.65, 1 Ga 2.82
Ga 0.2054 0.7946 0.3279  4 Pt 2.61-2.67, 1 Ga 2.78
Ga 0.2086 0.7914 0.7303  3 Pt 2.61-2.62, 2 Ga 2.78-2.82
Ga 0.4491 0.5509 0.6776  4 Pt 2.61-2.67, 1 In 2.92
Ga 0.5509 0.4491 0.1776  4 Pt 2.61-2.67, 1 In 2.92
Ga 0.7914 0.2086 0.2303  3 Pt 2.61-2.62, 2 Ga 2.78-2.82
Ga 0.7946 0.2054 0.8279  4 Pt 2.61-2.67, 1 Ga 2.78
Ga 0.8981 0.1019 0.3435  3 Pt 2.58-2.65, 1 Ga 2.82
Pt 0.1061 0.8939 0.2277  4 Ga 2.61-2.65, 2 In 2.92
Pt 0.2698 0.7302 0.0338  6 Ga 2.61-2.67, 1 In 2.70
Pt 0.4510 0.5490 0.2943  4 Ga 2.58-2.67, 1 In 2.78
Pt 0.5490 0.4510 0.7943  4 Ga 2.58-2.67, 1 In 2.78
Pt 0.7302 0.2698 0.5338  6 Ga 2.61-2.67, 1 In 2.70
Pt 0.8939 0.1061 0.7277  4 Ga 2.61-2.65, 2 In 2.92

---

- Which of these has the lowest total energy?
  LaTbO4

---

- Among the records above, which one has the highest total energy?
  Gd2InGa4Pt3